Entry 1:
ZrPdRh: optimized geometry, PBE.

Cell and atoms, written as extended XYZ:
```
6
Lattice="4.5665 0.0000 0.0000 -2.2833 3.9547 0.0000 0.0000 0.0000 5.6320" Properties=species:S:1:pos:R:3 pbc="T T T"
Pd 0.0000 2.6365 4.2240
Zr 0.0000 2.6365 1.4080
Rh 0.0000 0.0000 2.8160
Zr 2.2833 1.3182 4.2240
Rh 0.0000 0.0000 0.0000
Pd 2.2833 1.3182 1.4080
```

Results
**E_form**: -2.098 eV/f.u.
**Excess energy over the best structure of this formula in the dataset**: 84 meV per atom
**V**: 16.95 Å³ per atom
**Total magnetic moment**: 0.000 μB/f.u.

Entry 2:
SiMoP: optimized geometry, PBE.

Cell and atoms, written as extended XYZ:
```
3
Lattice="-2.1939 -1.0023 -1.8393 2.4048 -1.7528 0.5880 -2.6316 -2.1623 4.3173" Properties=species:S:1:pos:R:3 pbc="T T T"
P 0.0182 -2.2040 1.1793
Mo -0.0322 -0.0264 0.0527
Si -2.4069 -2.6870 1.8339
```

Results
**Excess energy over the best structure of this formula in the dataset**: 192 meV per atom
**Energy relative to the elements, uncorrected**: -0.181 eV/atom
**V**: 14.61 Å³ per atom
**Total magnetic moment**: 0.000 μB/f.u.